First-principles (PBE) data for a relaxed structure of PrSmLu2, as listed in Alexandria via LeMat-Bulk.

**Energy above the most stable polymorph in this dataset**: 3.6 meV/atom
**Symmetry**: No. 123
**Total moment**: 0.02 μB per formula unit
**Calculated volume**: 32.02 Å³/atom
**Calculated formation energy**: 0.029 eV/atom

Cell lengths 3.603, 3.603, 9.865 Å; angles 90.00, 90.00, 90.00 degrees
Sites, in units of the cell vectors:
Pr (0.000, 0.000, 0.000)
Sm (0.000, 0.000, 0.500)
Lu (0.500, 0.500, 0.253)
Lu (0.500, 0.500, 0.747)